CuAg2Br5 | PBE | optimized geometry

Cell: 8.147 11.733 11.223 Å, 90.00 90.00 90.00°
Positions (direct):
Br 0.500 0.592 0.631
Br 0.000 0.893 0.600
Br 0.500 0.393 0.900
Br 0.249 0.219 0.142
Br 0.249 0.781 0.858
Br 0.751 0.781 0.858
Br 0.000 0.432 0.352
Br 0.500 0.408 0.369
Br 0.751 0.219 0.142
Br 0.500 0.068 0.852
Br 0.251 0.281 0.642
Br 0.500 0.607 0.100
Br 0.500 0.932 0.148
Br 0.749 0.281 0.642
Br 0.000 0.568 0.648
Br 0.000 0.107 0.400
Br 0.000 0.092 0.869
Br 0.251 0.719 0.358
Br 0.000 0.908 0.131
Br 0.749 0.719 0.358
Ag 0.000 0.121 0.637
Ag 0.000 0.879 0.363
Ag 0.250 0.000 0.000
Ag 0.750 0.000 0.000
Ag 0.500 0.379 0.137
Ag 0.750 0.500 0.500
Ag 0.250 0.500 0.500
Ag 0.500 0.621 0.863
Cu 0.500 0.244 0.743
Cu 0.500 0.756 0.257
Cu 0.000 0.256 0.243
Cu 0.000 0.744 0.757

## Properties
**Relative energy among the computed polymorphs**: 0.000 eV per atom
**Formation energy (no corrections)**: -0.247 eV/atom
**Space-group type**: No. 58